Entry 1:
Compound: CaYIr2
Source: the Alexandria database
Functional: SCAN
Structure: single point on PBEsol structure

Computed properties:
* total magnetic moment: 0.7 μB per formula unit
* energy: -179.66 eV/f.u.

Cell lengths 3.710, 3.710, 5.934 Å; angles 90.00, 90.00, 90.00 degrees
Space group P4mm (No. 99)
Symmetry-distinct sites (fractional):
Ca 0.000 0.000 0.000
Y 0.500 0.500 0.636
Ir 0.000 0.000 0.467
Ir 0.500 0.500 0.188

---

Entry 2:
Compound: CaY2Ir2
Source: the Alexandria database
Functional: SCAN
Structure: single point on PBEsol structure

Computed properties:
* total magnetic moment: 0.0 μB per formula unit
* energy: -211.17 eV/f.u.

Cell lengths 7.786, 7.786, 3.636 Å; angles 90.00, 90.00, 90.00 degrees
Space group P4/mbm (No. 127)
Symmetry-distinct sites (fractional):
Ca 0.000 0.000 0.000
Y 0.152 0.348 0.500
Ir 0.140 0.640 0.000

---

Entry 3:
Compound: CaYIr2
Source: the Alexandria database
Functional: SCAN
Structure: single point on PBEsol structure

Computed properties:
* total magnetic moment: 0.0 μB per formula unit
* energy: -182.14 eV/f.u.

Cell lengths 4.2693, 4.2693, 20.5937 Å; angles 90.00, 90.00, 120.00 degrees
Space group R3m (No. 160, hexagonal axes)
Symmetry-distinct sites (fractional):
Ca 0.0000 0.0000 0.0000
Y 0.0000 0.0000 0.8296
Ir 0.0000 0.0000 0.2406
Ir 0.0000 0.0000 0.5745

---

Entry 4:
Compound: CaZnIr2
Source: the Alexandria database
Functional: SCAN
Structure: single point on PBEsol structure

Computed properties:
* total magnetic moment: 0.0 μB per formula unit
* energy: -165.48 eV/f.u.

Cell lengths 2.897, 2.897, 7.608 Å; angles 90.00, 90.00, 90.00 degrees
Space group P4/mmm (No. 123)
Symmetry-distinct sites (fractional):
Ca 0.000 0.000 0.000
Zn 0.000 0.000 0.500
Ir 0.500 0.500 0.287

---

Entry 5:
Compound: CaZn4Ir
Source: the Alexandria database
Functional: SCAN
Structure: single point on PBEsol structure

Computed properties:
* total magnetic moment: 0.0 μB per formula unit
* energy: -136.47 eV/f.u.

Cell lengths 7.124, 7.124, 7.124 Å; angles 90.00, 90.00, 90.00 degrees
Space group F-43m (No. 216)
Symmetry-distinct sites (fractional):
Ca 0.000 0.000 0.000
Zn 0.124 0.124 0.624
Ir 0.250 0.250 0.250

---

Entry 6:
Compound: CaZn2Ir
Source: the Alexandria database
Functional: SCAN
Structure: single point on PBEsol structure

Computed properties:
* total magnetic moment: 0.0 μB per formula unit
* energy: -109.31 eV/f.u.

Cell lengths 4.3071, 4.3071, 14.8902 Å; angles 90.00, 90.00, 120.00 degrees
Space group R3m (No. 160, hexagonal axes)
Symmetry-distinct sites (fractional):
Ca 0.0000 0.0000 0.0000
Zn 0.0000 0.0000 0.1939
Zn 0.0000 0.0000 0.4716
Ir 0.0000 0.0000 0.8070

---

Entry 7:
Compound: CaZn2Ir
Source: the Alexandria database
Functional: SCAN
Structure: single point on PBEsol structure

Computed properties:
* total magnetic moment: 0.0 μB per formula unit
* energy: -109.26 eV/f.u.

Cell lengths 7.398, 4.236, 5.436 Å; angles 90.00, 116.30, 90.00 degrees
Space group C2/m (No. 12)
Symmetry-distinct sites (fractional):
Ca 0.000 0.000 0.000
Zn 0.206 0.000 0.617
Ir 0.000 0.500 0.500

---

Entry 8:
Compound: CaZr2Ir
Source: the Alexandria database
Functional: SCAN
Structure: single point on PBEsol structure

Computed properties:
* total magnetic moment: 0.0 μB per formula unit
* energy: -143.65 eV/f.u.
* ΔE to the lowest computed polymorph: 0 meV/atom

Cell lengths 11.440, 3.307, 5.107 Å; angles 90.00, 116.44, 90.00 degrees
Space group C2/m (No. 12)
Symmetry-distinct sites (fractional):
Ca 0.000 0.000 0.000
Zr 0.206 0.000 0.706
Ir 0.000 0.500 0.500

---

Entry 9:
Compound: CaZrIr
Source: the Alexandria database
Functional: SCAN
Structure: single point on PBEsol structure

Computed properties:
* total magnetic moment: 0.0 μB per formula unit
* energy: -112.01 eV/f.u.
* ΔE to the lowest computed polymorph: 314 meV/atom

Cell lengths 4.6259, 4.6259, 3.1488 Å; angles 90.00, 90.00, 120.00 degrees
Space group P3m1 (No. 156)
Symmetry-distinct sites (fractional):
Ca 0.0000 0.0000 0.0000
Zr 0.3333 0.6667 0.3914
Ir 0.6667 0.3333 0.6523

---

Entry 10:
Compound: Ca2ZrIr
Source: the Alexandria database
Functional: SCAN
Structure: single point on PBEsol structure

Computed properties:
* total magnetic moment: 0.1 μB per formula unit
* energy: -122.60 eV/f.u.
* ΔE to the lowest computed polymorph: 0 meV/atom

Cell lengths 3.448, 3.448, 8.921 Å; angles 90.00, 90.00, 90.00 degrees
Space group P4mm (No. 99)
Symmetry-distinct sites (fractional):
Ca 0.000 0.000 0.000
Ca 0.500 0.500 0.358
Zr 0.500 0.500 0.709
Ir 0.000 0.000 0.582

---

Entry 11:
Compound: CaZrIr3
Source: the Alexandria database
Functional: SCAN
Structure: single point on PBEsol structure

Computed properties:
* total magnetic moment: 0.0 μB per formula unit
* energy: -249.81 eV/f.u.

Cell lengths 4.832, 4.832, 4.832 Å; angles 90.00, 90.00, 90.00 degrees
Space group Pm-3m (No. 221)
Symmetry-distinct sites (fractional):
Ca 0.000 0.000 0.000
Zr 0.500 0.500 0.500
Ir 0.000 0.500 0.500

---

Entry 12:
Compound: Ca2ZrIr
Source: the Alexandria database
Functional: SCAN
Structure: single point on PBEsol structure

Computed properties:
* total magnetic moment: 0.0 μB per formula unit
* energy: -121.30 eV/f.u.
* ΔE to the lowest computed polymorph: 323 meV/atom

Cell lengths 4.058, 4.058, 5.175 Å; angles 90.00, 90.00, 90.00 degrees
Space group P4/mmm (No. 123)
Symmetry-distinct sites (fractional):
Ca 0.000 0.500 0.000
Zr 0.000 0.000 0.500
Ir 0.500 0.500 0.500

---

Repeat the eighth record exactly.
Compound: CaZr2Ir
Source: the Alexandria database
Functional: SCAN
Structure: single point on PBEsol structure

Computed properties:
* total magnetic moment: 0.0 μB per formula unit
* energy: -143.65 eV/f.u.
* ΔE to the lowest computed polymorph: 0 meV/atom

Cell lengths 11.440, 3.307, 5.107 Å; angles 90.00, 116.44, 90.00 degrees
Space group C2/m (No. 12)
Symmetry-distinct sites (fractional):
Ca 0.000 0.000 0.000
Zr 0.206 0.000 0.706
Ir 0.000 0.500 0.500

---

Look up the energy of the fifth one. -136.47 eV/f.u.